NbHgS2, relaxed, DFT PBE; formation energy without anion corrections = -0.781 eV per atom; volume = 93 Å³ per cell; SG = No. 160; uncorrected energy = -5.44 eV per atom
1.0
1.673 0.966 9.562
-1.673 0.966 9.562
0.000 -1.932 9.562
Nb Hg S
1 1 2
Direct
0.000 0.000 0.000
0.166 0.166 0.166
0.279 0.279 0.279
0.388 0.388 0.388